Entry from Alexandria via LeMat-Bulk: a relaxed structure of LiLaAu (PBE-GGA).

Energy above the most stable polymorph in this dataset   0.0324 eV per atom
Space-group type   P-6m2
ΔE_f   -1.59 eV per formula unit

a = 4.5944 Å, b = 4.5944 Å, c = 3.9170 Å
α = 90.00°, β = 90.00°, γ = 120.00°
Sites, in units of the cell vectors:
La 0.6667 0.3333 0.3332
Au 0.0000 0.0000 0.8334
Li 0.3333 0.6667 0.8333